# ZnPd3Au2

An optimized crystal structure of ZnPd3Au2 (PBE, Alexandria).

a b c (Å): 4.576 13.662 3.080
angles (deg): 90.00 90.00 90.00
Space group Cmmm (No. 65)
Symmetry-distinct sites (fractional):
Zn: 0.000 0.000 0.000 (multiplicity 2)
Pd: 0.000 0.152 0.500 (multiplicity 4)
Pd: 0.000 0.500 0.500 (multiplicity 2)
Au: 0.000 0.328 0.000 (multiplicity 4)

Computed properties:
E_tot, eV per atom: -4.166
Formation energy from the elements, eV/atom: -0.264
Mass density, g cm⁻³: 13.43